[1]
The following is a DFT calculation (PBE) of crystalline Hg2SeBr at its relaxed geometry.

The polymorph energy (0 for the lowest one) is 38.8 kJ per mole of atoms. The calculation puts the density of states at the Fermi level at 1.72 states/eV per cell. The calculation puts the uncorrected formation energy at 147.9 meV/atom. Its size of the total moment is 0.000 μB per cell.

a = 7.3222 Å, b = 7.3222 Å, c = 7.3222 Å
α = 150.89°, β = 144.59°, γ = 46.47°
Sites, in units of the cell vectors:
Br 0.2500 0.7500 0.5000
Hg 0.9622 0.9622 0.0000
Hg 0.5378 0.5378 0.0000
Se 0.7500 0.2500 0.5000

---

[2]
The following is a DFT calculation (PBE) of crystalline CaAuSe2 at its relaxed geometry.

The polymorph energy (0 for the lowest one) is 67.9 kJ per mole of atoms. The calculation puts the density of states at the Fermi level at 3.11 states/eV per cell. The calculation puts the uncorrected formation energy at -203.4 meV/atom. Its size of the total moment is 0.000 μB per cell.

a = 8.6328 Å, b = 8.6328 Å, c = 8.6328 Å
α = 27.17°, β = 27.17°, γ = 27.17°
Sites, in units of the cell vectors:
Ca 0.0000 0.0000 0.0000
Se 0.1123 0.1123 0.1123
Se 0.8877 0.8877 0.8877
Au 0.5000 0.5000 0.5000

---

[3]
The following is a DFT calculation (PBE) of crystalline LiCaSb3 at its relaxed geometry.

The polymorph energy (0 for the lowest one) is 0.0 kJ per mole of atoms. The calculation puts the density of states at the Fermi level at 7.65 states/eV per cell. The calculation puts the uncorrected formation energy at -476.7 meV/atom. Its size of the total moment is 0.000 μB per cell.

a = 6.1158 Å, b = 6.3189 Å, c = 13.8012 Å
α = 90.00°, β = 90.00°, γ = 90.00°
Sites, in units of the cell vectors:
Sb 0.2500 0.9859 0.2293
Sb 0.7500 0.5141 0.2293
Sb 0.2500 0.6759 0.0773
Sb 0.7500 0.3241 0.9227
Sb 0.5000 0.2500 0.4948
Sb 0.5000 0.7500 0.5052
Sb 0.0000 0.2500 0.4948
Sb 0.2500 0.4859 0.7707
Sb 0.2500 0.1759 0.9227
Sb 0.0000 0.7500 0.5052
Sb 0.7500 0.8241 0.0773
Sb 0.7500 0.0141 0.7707
Li 0.5000 0.2500 0.1051
Li 0.0000 0.2500 0.1051
Li 0.5000 0.7500 0.8949
Li 0.0000 0.7500 0.8949
Ca 0.7500 0.9905 0.3132
Ca 0.2500 0.0095 0.6868
Ca 0.7500 0.4905 0.6868
Ca 0.2500 0.5095 0.3132

---

[4]
The following is a DFT calculation (PBE) of crystalline Na2BeTlN at its relaxed geometry.

The calculation puts the density of states at the Fermi level at 1.39 states/eV per cell. The calculation puts the uncorrected formation energy at 699.4 meV/atom. Its size of the total moment is 0.000 μB per cell.

a = 4.7267 Å, b = 4.6981 Å, c = 4.7267 Å
α = 90.00°, β = 90.00°, γ = 90.00°
Sites, in units of the cell vectors:
Tl 0.0000 0.5000 0.0000
N 0.0000 0.0000 0.0000
Na 0.5000 0.0000 0.0000
Na 0.0000 0.0000 0.5000
Be 0.5000 0.5000 0.5000

---

[5]
The following is a DFT calculation (PBE) of crystalline AsPdN2 at its relaxed geometry.

The calculation puts the density of states at the Fermi level at 1.74 states/eV per cell. The calculation puts the uncorrected formation energy at 930.1 meV/atom. Its size of the total moment is 0.000 μB per cell.

a = 6.2491 Å, b = 6.2491 Å, c = 6.2491 Å
α = 29.18°, β = 29.18°, γ = 29.18°
Sites, in units of the cell vectors:
As 0.0000 0.0000 0.0000
N 0.8908 0.8908 0.8908
N 0.1092 0.1092 0.1092
Pd 0.5000 0.5000 0.5000

---

[6]
The following is a DFT calculation (PBE) of crystalline Fe8Ni2Ge at its relaxed geometry.

As for the energy relative to the elements: 0.33 eV per atom. The polymorph energy (0 for the lowest one) is 33.2 kJ per mole of atoms. The calculation puts the density of states at the Fermi level at 10.47 states/eV per cell. Its size of the total moment is 20.989 μB per cell.

a = 4.3602 Å, b = 6.3191 Å, c = 6.3191 Å
α = 58.30°, β = 78.05°, γ = 78.05°
Last column: magnetic moment on the atom in μB.
Sites, in units of the cell vectors:
Fe 0.2183 0.7499 0.3795  2.35
Fe 0.2183 0.3795 0.7499  2.35
Fe 0.9207 0.2311 0.2311  2.61
Fe 0.6624 0.6484 0.6484  2.76
Fe 0.7817 0.6205 0.2501  2.35
Fe 0.0793 0.7689 0.7689  2.61
Fe 0.3376 0.3516 0.3516  2.76
Fe 0.7817 0.2501 0.6205  2.35
Ni 0.4833 0.1223 0.1223  0.52
Ni 0.5167 0.8777 0.8777  0.52
Ge 0.0000 0.0000 0.0000  -0.12

---

[7]
The following is a DFT calculation (PBE) of crystalline Pm2Nd2Y at its relaxed geometry.

As for the energy relative to the elements: 0.17 eV per atom. The polymorph energy (0 for the lowest one) is 14.1 kJ per mole of atoms. The calculation puts the density of states at the Fermi level at 8.87 states/eV per cell. Its size of the total moment is 0.000 μB per cell.

a = 5.5278 Å, b = 6.2494 Å, c = 6.2494 Å
α = 77.28°, β = 63.75°, γ = 63.75°
Sites, in units of the cell vectors:
Pm 0.2030 0.2970 0.2970
Pm 0.7970 0.7030 0.7030
Y 0.0000 0.0000 0.0000
Nd 0.5000 0.7049 0.2951
Nd 0.5000 0.2951 0.7049

---

[8]
The following is a DFT calculation (PBE) of crystalline LiRuBr at its relaxed geometry.

The polymorph energy (0 for the lowest one) is 4.2 kJ per mole of atoms. The calculation puts the density of states at the Fermi level at 4.28 states/eV per cell. The calculation puts the uncorrected formation energy at -322.2 meV/atom. Its size of the total moment is 0.589 μB per cell.

a = 3.6817 Å, b = 3.7130 Å, c = 10.2836 Å
α = 82.05°, β = 79.86°, γ = 60.28°
Last column: magnetic moment on the atom in μB.
Sites, in units of the cell vectors:
Li 0.0205 0.1837 0.4510  0.00
Li 0.4808 0.5825 0.1276  0.00
Br 0.7511 0.8839 0.2887  0.00
Br 0.2808 0.5090 0.6108  0.01
Ru 0.5949 0.6548 0.8202  0.28
Ru 0.8883 0.9703 0.9204  0.23

---

[9]
The following is a DFT calculation (PBE) of crystalline Ac2CdPtO6 at its relaxed geometry.

The calculation puts the uncorrected formation energy at -2102.6 meV/atom. Its size of the total moment is 0.000 μB per cell.

a = 5.8236 Å, b = 6.1268 Å, c = 8.3047 Å
α = 90.00°, β = 90.24°, γ = 90.00°
Sites, in units of the cell vectors:
O 0.3988 0.9623 0.7357
O 0.2107 0.1863 0.4520
O 0.1798 0.2180 0.0576
O 0.8988 0.5377 0.2357
O 0.6798 0.2820 0.5576
O 0.8202 0.7820 0.9424
O 0.3202 0.7180 0.4424
O 0.7107 0.3137 0.9520
O 0.7893 0.8137 0.5480
O 0.2893 0.6863 0.0480
O 0.1012 0.4623 0.7643
O 0.6012 0.0377 0.2643
Pt 0.0000 0.5000 0.0000
Pt 0.5000 0.0000 0.5000
Cd 0.0000 0.5000 0.5000
Cd 0.5000 0.0000 0.0000
Ac 0.4842 0.4395 0.2493
Ac 0.0158 0.9395 0.2507
Ac 0.9842 0.0605 0.7493
Ac 0.5158 0.5605 0.7507

---

[10]
The following is a DFT calculation (PBE) of crystalline LaDyHo3Tm at its relaxed geometry.

As for the energy relative to the elements: 0.22 eV per atom. The calculation puts the density of states at the Fermi level at 17.70 states/eV per cell. Its size of the total moment is 0.000 μB per cell.

a = 5.5923 Å, b = 10.2753 Å, c = 7.1091 Å
α = 90.11°, β = 90.00°, γ = 105.79°
Sites, in units of the cell vectors:
La 0.3586 0.7171 0.9722
La 0.6414 0.2829 0.0278
Ho 0.4763 0.9526 0.2759
Ho 0.2215 0.4430 0.2369
Ho 0.8364 0.6727 0.2797
Ho 0.5237 0.0474 0.7241
Ho 0.7785 0.5570 0.7631
Ho 0.1636 0.3273 0.7203
Dy 0.3484 0.6968 0.5469
Dy 0.6516 0.3032 0.4531
Tm 0.9437 0.8874 0.7048
Tm 0.0563 0.1126 0.2952

---

[11]
The following is a DFT calculation (PBE) of crystalline TlBTe3 at its relaxed geometry.

The calculation puts the density of states at the Fermi level at 3.08 states/eV per cell. The calculation puts the uncorrected formation energy at 490.1 meV/atom. Its size of the total moment is 0.000 μB per cell.

a = 5.0379 Å, b = 5.0379 Å, c = 5.0379 Å
α = 90.00°, β = 90.00°, γ = 90.00°
Sites, in units of the cell vectors:
Te 0.0000 0.5000 0.0000
Te 0.5000 0.0000 0.0000
Te 0.0000 0.0000 0.5000
Tl 0.5000 0.5000 0.5000
B 0.0000 0.0000 0.0000

---

[12]
The following is a DFT calculation (PBE) of crystalline Tb3In2Hg at its relaxed geometry.

As for the energy relative to the elements: -0.48 eV per atom. The calculation puts the density of states at the Fermi level at 5.11 states/eV per cell. Its size of the total moment is 0.018 μB per cell.

a = 3.6386 Å, b = 3.6386 Å, c = 12.0489 Å
α = 90.00°, β = 90.00°, γ = 90.00°
Sites, in units of the cell vectors:
Tb 0.0000 0.0000 0.6621
Tb 0.0000 0.0000 0.0000
Tb 0.0000 0.0000 0.3379
Hg 0.5000 0.5000 0.5000
In 0.5000 0.5000 0.8298
In 0.5000 0.5000 0.1702

---

[13]
The following is a DFT calculation (PBE) of crystalline SrY4Re at its relaxed geometry.

As for the energy relative to the elements: 0.96 eV per atom. The calculation puts the density of states at the Fermi level at 10.38 states/eV per cell. Its size of the total moment is 2.861 μB per cell.

a = 6.3432 Å, b = 6.3432 Å, c = 6.3432 Å
α = 60.00°, β = 60.00°, γ = 60.00°
Last column: magnetic moment on the atom in μB.
Sites, in units of the cell vectors:
Y 0.3774 0.3774 0.3774  0.13
Y 0.3774 0.3774 0.8678  0.13
Y 0.3774 0.8678 0.3774  0.13
Y 0.8678 0.3774 0.3774  0.13
Sr 0.0000 0.0000 0.0000  0.06
Re 0.7500 0.7500 0.7500  1.33

---

[14]
The following is a DFT calculation (PBE) of crystalline La2Pm3ErAs6 at its relaxed geometry.

As for the energy relative to the elements: -1.53 eV per atom. The calculation puts the density of states at the Fermi level at 1.60 states/eV per cell. Its size of the total moment is 0.000 μB per cell.

a = 4.2634 Å, b = 8.5252 Å, c = 9.5267 Å
α = 102.99°, β = 102.93°, γ = 90.00°
Sites, in units of the cell vectors:
Er 0.5000 0.0000 0.0000
As 0.3347 0.4133 0.6694
As 0.9979 0.2421 0.9958
As 0.6653 0.5867 0.3306
As 0.0021 0.7579 0.0042
As 0.6638 0.0771 0.3276
As 0.3362 0.9229 0.6724
La 0.8350 0.6694 0.6700
La 0.1650 0.3306 0.3300
Pm 0.1670 0.8344 0.3341
Pm 0.8330 0.1656 0.6659
Pm 0.5000 0.5000 0.0000

---

[15]
The following is a DFT calculation (PBE) of crystalline MgInO2 at its relaxed geometry.

The polymorph energy (0 for the lowest one) is 2.7 kJ per mole of atoms. The calculation puts the density of states at the Fermi level at 0.66 states/eV per cell. The calculation puts the uncorrected formation energy at -1739.0 meV/atom. Its size of the total moment is 0.000 μB per cell.

a = 4.9681 Å, b = 4.9681 Å, c = 5.9998 Å
α = 65.54°, β = 65.54°, γ = 90.00°
Sites, in units of the cell vectors:
Mg 0.2500 0.7500 0.5000
Mg 0.5000 0.5000 0.0000
In 0.7500 0.2500 0.5000
In 0.0000 0.0000 0.0000
O 0.8750 0.8368 0.7500
O 0.3750 0.4132 0.7500
O 0.5868 0.1250 0.2500
O 0.1632 0.6250 0.2500

---

[16]
The following is a DFT calculation (PBE) of crystalline La2Pm7HoTl2 at its relaxed geometry.

As for the energy relative to the elements: -0.03 eV per atom. The calculation puts the density of states at the Fermi level at 17.63 states/eV per cell. Its size of the total moment is 0.000 μB per cell.

a = 4.9323 Å, b = 4.9323 Å, c = 17.6325 Å
α = 73.48°, β = 73.48°, γ = 89.04°
Sites, in units of the cell vectors:
Pm 0.5000 0.5000 0.0000
Pm 0.2759 0.2759 0.4998
Pm 0.6646 0.1647 0.8349
Pm 0.3354 0.8353 0.1651
Pm 0.1647 0.6646 0.8349
Pm 0.7241 0.7241 0.5002
Pm 0.8353 0.3354 0.1651
La 0.1678 0.1678 0.3325
La 0.8322 0.8322 0.6675
Tl 0.3172 0.3172 0.6818
Tl 0.6828 0.6828 0.3182
Ho 0.0000 0.0000 0.0000

---

[17]
The following is a DFT calculation (PBE) of crystalline Tb7Mg2In2 at its relaxed geometry.

As for the energy relative to the elements: 0.13 eV per atom. The calculation puts the density of states at the Fermi level at 10.76 states/eV per cell. Its size of the total moment is 0.000 μB per cell.

a = 6.6526 Å, b = 8.7324 Å, c = 6.6526 Å
α = 90.00°, β = 116.97°, γ = 90.00°
Sites, in units of the cell vectors:
Tb 0.0000 0.6974 0.5000
Tb 0.5000 0.3026 0.0000
Tb 0.5000 0.2157 0.5000
Tb 0.0000 0.3026 0.5000
Tb 0.0000 0.0000 0.0000
Tb 0.5000 0.7843 0.5000
Tb 0.5000 0.6974 0.0000
In 0.7877 0.5000 0.7877
In 0.2123 0.5000 0.2123
Mg 0.2765 0.0000 0.7235
Mg 0.7235 0.0000 0.2765

---

[18]
The following is a DFT calculation (PBE) of crystalline Li2MoAs at its relaxed geometry.

As for the energy relative to the elements: 0.00 eV per atom. The calculation puts the density of states at the Fermi level at 2.78 states/eV per cell. Its size of the total moment is 0.000 μB per cell.

a = 4.5273 Å, b = 2.7750 Å, c = 4.9858 Å
α = 74.71°, β = 90.00°, γ = 90.00°
Sites, in units of the cell vectors:
Mo 0.5000 0.2500 0.2500
As 0.5000 0.7500 0.7500
Li 0.0000 0.9021 0.0007
Li 0.0000 0.5979 0.4993

---

[19]
The following is a DFT calculation (PBE) of crystalline HfZrPb2O6 at its relaxed geometry.

The calculation puts the density of states at the Fermi level at 0.00 states/eV per cell. The calculation puts the uncorrected formation energy at -2482.1 meV/atom. Its size of the total moment is 0.000 μB per cell.

a = 5.9434 Å, b = 6.0265 Å, c = 8.3188 Å
α = 90.00°, β = 90.00°, γ = 90.00°
Sites, in units of the cell vectors:
Hf 0.0000 0.7377 0.0000
Hf 0.5000 0.2623 0.5000
O 0.2348 0.0212 0.5000
O 0.2495 0.5024 0.0000
O 0.7652 0.0212 0.5000
O 0.7348 0.9788 0.0000
O 0.2652 0.9788 0.0000
O 0.0000 0.7872 0.2485
O 0.5000 0.2128 0.2515
O 0.7495 0.4976 0.5000
O 0.0000 0.7872 0.7515
O 0.2505 0.4976 0.5000
O 0.7505 0.5024 0.0000
O 0.5000 0.2128 0.7485
Pb 0.5000 0.8078 0.2230
Pb 0.0000 0.1922 0.7230
Pb 0.5000 0.8078 0.7770
Pb 0.0000 0.1922 0.2770
Zr 0.0000 0.7288 0.5000
Zr 0.5000 0.2712 0.0000

---

[20]
The following is a DFT calculation (PBE) of crystalline Ta5Ir4Pd at its relaxed geometry.

As for the energy relative to the elements: -0.52 eV per atom. The calculation puts the density of states at the Fermi level at 10.33 states/eV per cell. Its size of the total moment is 0.000 μB per cell.

a = 2.8724 Å, b = 2.8724 Å, c = 19.6505 Å
α = 90.00°, β = 90.00°, γ = 90.00°
Sites, in units of the cell vectors:
Ta 0.5000 0.5000 0.3017
Ta 0.5000 0.5000 0.5000
Ta 0.5000 0.5000 0.1054
Ta 0.5000 0.5000 0.8946
Ta 0.5000 0.5000 0.6983
Pd 0.0000 0.0000 0.0000
Ir 0.0000 0.0000 0.2020
Ir 0.0000 0.0000 0.5984
Ir 0.0000 0.0000 0.4016
Ir 0.0000 0.0000 0.7980